# Tb2ScIn9 | Alexandria via LeMat-Bulk | PBE-GGA | relaxed
data_Tb2ScIn9
_cell_length_a 4.611
_cell_length_b 4.611
_cell_length_c 13.798
_cell_angle_alpha 90.00
_cell_angle_beta 90.00
_cell_angle_gamma 90.00
_space_group_name_H-M_alt 'P 1'
_space_group_IT_number 1
_space_group_name_Hall 'P 1'
loop_
_atom_site_label
_atom_site_type_symbol
_atom_site_fract_x
_atom_site_fract_y
_atom_site_fract_z
Tb1 Tb 0.000 0.000 0.330
Tb2 Tb 0.000 0.000 0.670
Sc1 Sc 0.000 0.000 0.000
In1 In 0.500 0.500 0.000
In2 In 0.500 0.500 0.332
In3 In 0.500 0.500 0.668
In4 In 0.500 0.000 0.161
In5 In 0.500 0.000 0.500
In6 In 0.500 0.000 0.839
In7 In 0.000 0.500 0.161
In8 In 0.000 0.500 0.500
In9 In 0.000 0.500 0.839
# ΔH_f (0 K) = -4.63 eV/f.u.
# Total energy = -3.739 eV per atom
# DOS at the Fermi energy = 0.339 states/eV/atom
# Total moment = 0.0 μB/f.u.
# Calculated volume = 24.44 Å³/atom

***

# TbScIn | Alexandria via LeMat-Bulk | PBE-GGA | relaxed
data_TbScIn
_cell_length_a 3.175
_cell_length_b 5.209
_cell_length_c 5.209
_cell_angle_alpha 120.00
_cell_angle_beta 90.00
_cell_angle_gamma 90.00
_space_group_name_H-M_alt 'P 1'
_space_group_IT_number 1
_space_group_name_Hall 'P 1'
loop_
_atom_site_label
_atom_site_type_symbol
_atom_site_fract_x
_atom_site_fract_y
_atom_site_fract_z
Sc1 Sc 0.165 0.000 0.000
Tb1 Tb 0.168 0.333 0.667
In1 In 0.667 0.667 0.333
# ΔH_f (0 K) = -0.25 eV/f.u.
# Total energy = -4.649 eV per atom
# DOS at the Fermi energy = 1.374 states/eV/atom
# Relative energy among the computed polymorphs = 287 meV per atom
# Total moment = 0.0 μB/f.u.
# Calculated volume = 24.87 Å³/atom

***

# Tb5Sc2In | Alexandria via LeMat-Bulk | PBE-GGA | relaxed
data_Tb5Sc2In
_cell_length_a 8.512
_cell_length_b 8.512
_cell_length_c 8.764
_cell_angle_alpha 119.05
_cell_angle_beta 119.05
_cell_angle_gamma 90.00
_space_group_name_H-M_alt 'P 1'
_space_group_IT_number 1
_space_group_name_Hall 'P 1'
loop_
_atom_site_label
_atom_site_type_symbol
_atom_site_fract_x
_atom_site_fract_y
_atom_site_fract_z
Tb1 Tb 0.492 0.686 0.678
Tb2 Tb 0.814 0.008 0.322
Tb3 Tb 0.000 0.000 0.000
Tb4 Tb 0.500 0.500 0.000
Tb5 Tb 0.186 0.992 0.678
Tb6 Tb 0.686 0.186 0.678
Tb7 Tb 0.992 0.492 0.678
Tb8 Tb 0.314 0.814 0.322
Tb9 Tb 0.008 0.508 0.322
Tb10 Tb 0.508 0.314 0.322
Sc1 Sc 0.140 0.360 0.000
Sc2 Sc 0.640 0.140 0.000
Sc3 Sc 0.360 0.860 0.000
Sc4 Sc 0.860 0.640 0.000
In1 In 0.750 0.750 0.500
In2 In 0.250 0.250 0.500
# ΔH_f (0 K) = -0.05 eV/f.u.
# Total energy = -4.826 eV per atom
# DOS at the Fermi energy = 1.888 states/eV/atom
# Total moment = 0.0 μB/f.u.
# Calculated volume = 28.85 Å³/atom

***

# Tb2Sc6In | Alexandria via LeMat-Bulk | PBE-GGA | relaxed
data_Tb2Sc6In
_cell_length_a 3.280
_cell_length_b 9.610
_cell_length_c 9.016
_cell_angle_alpha 122.20
_cell_angle_beta 100.48
_cell_angle_gamma 90.00
_space_group_name_H-M_alt 'P 1'
_space_group_IT_number 1
_space_group_name_Hall 'P 1'
loop_
_atom_site_label
_atom_site_type_symbol
_atom_site_fract_x
_atom_site_fract_y
_atom_site_fract_z
Tb1 Tb 0.148 0.647 0.295
Tb2 Tb 0.852 0.353 0.705
Sc1 Sc 0.179 0.342 0.358
Sc2 Sc 0.821 0.984 0.642
Sc3 Sc 0.821 0.658 0.642
Sc4 Sc 0.500 0.285 0.000
Sc5 Sc 0.179 0.016 0.358
Sc6 Sc 0.500 0.715 0.000
In1 In 0.000 0.000 0.000
# ΔH_f (0 K) = 0.00 eV/f.u.
# Total energy = -5.555 eV per atom
# DOS at the Fermi energy = 1.386 states/eV/atom
# Total moment = 0.0 μB/f.u.
# Calculated volume = 26.10 Å³/atom